{
  "formula": "Ge2IrOs",
  "functional": "PBE",
  "state": "optimized geometry",
  "lattice": [[0.000, 3.137, 3.137], [3.137, 0.000, 3.137], [3.137, 3.137, 0.000]],
  "species": ["Ge", "Ge", "Ir", "Os"],
  "frac_coords": [[0.000, 0.000, 0.000], [0.250, 0.250, 0.250], [0.500, 0.500, 0.500], [0.750, 0.750, 0.750]],
  "spacegroup": "F-43m (216)"
}



{
  "formula": "La2AgAs2PdO2",
  "functional": "PBE",
  "state": "optimized geometry",
  "lattice": [[4.235, 0.000, 0.000], [0.000, 4.235, 0.000], [0.000, 0.000, 8.450]],
  "species": ["Ag", "As", "As", "La", "La", "O", "O", "Pd"],
  "frac_coords": [[0.000, 0.000, 0.000], [0.000, 0.500, 0.172], [0.500, 0.000, 0.828], [0.500, 0.000, 0.364], [0.000, 0.500, 0.636], [0.000, 0.000, 0.500], [0.500, 0.500, 0.500], [0.500, 0.500, 0.000]],
  "spacegroup": "P-4m2 (115)"
}



{
  "formula": "RbSbPt",
  "functional": "PBE",
  "state": "optimized geometry",
  "lattice": [[0.000, 3.537, 3.537], [3.537, 0.000, 3.537], [3.537, 3.537, 0.000]],
  "species": ["Pt", "Rb", "Sb"],
  "frac_coords": [[0.000, 0.000, 0.000], [0.250, 0.250, 0.250], [0.750, 0.750, 0.750]],
  "spacegroup": "F-43m (216)"
}



{
  "formula": "GdUAg",
  "functional": "PBE",
  "state": "optimized geometry",
  "lattice": [[0.000, 3.454, 3.454], [3.454, 0.000, 3.454], [3.454, 3.454, 0.000]],
  "species": ["Ag", "Gd", "U"],
  "frac_coords": [[0.250, 0.250, 0.250], [0.750, 0.750, 0.750], [0.000, 0.000, 0.000]],
  "formation_energy_ev_per_atom": 1.032,
  "spacegroup": "F-43m (216)"
}



Q: Which uncorrected energy values were calculated for the entries above? A: -6.851 -6.407 -3.487 -5.226, in eV per atom.